1.
MgHRuPb2, optimized geometry, DFT PBE-GGA; space group = P4/mmm; electronic total energy = -14.6 eV per cell
1.0
5.466 0.000 0.000
0.000 5.466 0.000
0.000 0.000 4.678
Mg H Ru Pb
1 1 1 2
Cartesian
0.000 0.000 0.000
2.733 2.733 2.339
0.000 0.000 2.339
0.000 2.733 0.000
2.733 0.000 0.000

=====

2.
Mg2HRuPb, optimized geometry, DFT PBE-GGA; space group = P4/mmm; energy above the lowest structure with this stoichiometry = 0.0 meV/atom
1.0
4.699 0.000 0.000
0.000 4.699 0.000
0.000 0.000 3.585
Mg H Ru Pb
2 1 1 1
Cartesian
0.000 2.350 0.000
2.350 0.000 0.000
0.000 0.000 0.000
0.000 0.000 1.793
2.350 2.350 1.793

=====

3.
SrMg2HPb, optimized geometry, DFT PBE-GGA; space group = Cmcm; energy above the lowest structure with this stoichiometry = 10.9 meV/atom
1.0
2.358 -5.899 0.000
2.358 5.899 0.000
0.000 0.000 9.031
Sr Mg H Pb
2 4 2 2
Cartesian
2.358 5.175 6.773
2.358 -5.175 2.258
2.358 1.927 4.998
2.358 1.927 8.548
2.358 -1.927 0.483
2.358 -1.927 4.033
2.358 0.000 0.000
2.358 0.000 4.515
2.358 3.278 2.258
2.358 -3.278 6.773

=====

4.
Sr2Mg2HPb2, optimized geometry, DFT PBE-GGA; space group = I4/mmm; electronic total energy = -20.1 eV per cell
1.0
-2.361 2.361 8.422
2.361 -2.361 8.422
2.361 2.361 -8.422
Sr Mg H Pb
2 2 1 2
Cartesian
0.000 0.000 2.761
0.000 0.000 14.083
2.361 0.000 0.000
0.000 2.361 0.000
0.000 0.000 0.000
0.000 0.000 6.388
0.000 0.000 10.455

=====

5.
Sr2MgHPb, optimized geometry, DFT PBE-GGA; space group = P4/mmm; electronic total energy = -13.8 eV per cell
1.0
5.264 0.000 0.000
0.000 5.264 0.000
0.000 0.000 4.864
Sr Mg H Pb
2 1 1 1
Cartesian
0.000 2.632 0.000
2.632 0.000 0.000
0.000 0.000 2.432
0.000 0.000 0.000
2.632 2.632 2.432

=====

6.
SrMg2HPb, optimized geometry, DFT PBE-GGA; space group = P4/mmm; energy above the lowest structure with this stoichiometry = 0.0 meV/atom
1.0
4.805 0.000 0.000
0.000 4.805 0.000
0.000 0.000 4.872
Sr Mg H Pb
1 2 1 1
Cartesian
0.000 0.000 0.000
0.000 2.402 2.436
2.402 0.000 2.436
0.000 0.000 2.436
2.402 2.402 0.000

=====

The calculation returns the following magnetic moment values, one per record and in order: 1.6; 0.0; 0.0; 0.0; 0.0; 0.0 μB/f.u..